Record 1
The following is a PBE calculation of a geometry-optimized Ce2CuGe3Rh4 structure, from Alexandria via LeMat-Bulk.

Cell lengths 4.1522, 4.1522, 10.4867 Å; angles 90.00, 90.00, 90.00 degrees
Fractional coordinates of all 10 atoms:
Ce: 0.5000 0.0000 0.2589
Ce: 0.0000 0.5000 0.7411
Cu: 0.5000 0.5000 0.5000
Ge: 0.0000 0.0000 0.5000
Ge: 0.5000 0.0000 0.8712
Ge: 0.0000 0.5000 0.1288
Rh: 0.5000 0.5000 0.0000
Rh: 0.0000 0.0000 0.0000
Rh: 0.5000 0.0000 0.6380
Rh: 0.0000 0.5000 0.3620

Properties
Energy = -6.69 eV per atom
Crystal system = tetragonal
Symmetry = P-4m2, No. 115
Total magnetic moment = 1.07 μB/f.u.

***

Record 2
The following is a PBE calculation of a geometry-optimized Hf2MgSc6 structure, from Alexandria via LeMat-Bulk.

Cell lengths 3.1444, 7.9741, 9.0571 Å; angles 77.85, 80.00, 78.63 degrees
Fractional coordinates of all 9 atoms:
Hf: 0.3169 0.0224 0.3439
Hf: 0.6831 0.9776 0.6561
Mg: 0.0000 0.0000 0.0000
Sc: 0.7695 0.3445 0.1165
Sc: 0.2305 0.6555 0.8835
Sc: 0.3875 0.6723 0.5527
Sc: 0.0435 0.6649 0.2482
Sc: 0.9565 0.3351 0.7518
Sc: 0.6125 0.3277 0.4473

Properties
Energy = -6.51 eV per atom
Crystal system = monoclinic
Energy above the lowest structure with this stoichiometry = 51 meV per atom
Symmetry = C2/m, No. 12
Total magnetic moment = 0.00 μB/f.u.

***

Record 3
The following is a PBE calculation of a geometry-optimized Zr4TiTl3 structure, from Alexandria via LeMat-Bulk.

Cell lengths 5.0272, 5.0272, 7.8811 Å; angles 108.59, 108.60, 90.00 degrees
Fractional coordinates of all 8 atoms:
Tl: 0.0000 0.5000 0.0000
Tl: 0.7424 0.2424 0.4847
Tl: 0.2576 0.7576 0.5153
Zr: 0.3803 0.3801 0.7606
Zr: 0.6197 0.6199 0.2394
Zr: 0.1197 0.1197 0.2394
Zr: 0.8803 0.8803 0.7606
Ti: 0.5000 0.0000 0.0000

Properties
Energy = -6.16 eV per atom
Crystal system = tetragonal
Symmetry = I4/mmm, No. 139
Total magnetic moment = 0.05 μB/f.u.

***

Record 4
The following is a PBE calculation of a geometry-optimized K2IrPt structure, from Alexandria via LeMat-Bulk.

Cell lengths 5.2697, 2.7647, 6.3949 Å; angles 64.99, 90.00, 90.00 degrees
Fractional coordinates of all 4 atoms:
Ir: 0.5000 0.7500 0.7500
K: 0.0000 0.0020 0.0008
K: 0.0000 0.4980 0.4992
Pt: 0.5000 0.2500 0.2500

Properties
Energy = -3.69 eV per atom
Crystal system = monoclinic
Energy above the lowest structure with this stoichiometry = 349 meV per atom
Symmetry = P2/m, No. 10
Total magnetic moment = 0.00 μB/f.u.

***

Record 5
The following is a PBE calculation of a geometry-optimized Dy3B7Os structure, from Alexandria via LeMat-Bulk.

Cell lengths 3.5231, 8.0649, 9.3296 Å; angles 90.00, 90.00, 102.62 degrees
Fractional coordinates of all 22 atoms:
Dy: 0.1058 0.2115 0.4397
Dy: 0.8942 0.7885 0.5603
Dy: 0.2445 0.4890 0.7500
Dy: 0.7555 0.5110 0.2500
Dy: 0.1058 0.2115 0.0603
Dy: 0.8942 0.7885 0.9397
B: 0.4574 0.9147 0.7500
B: 0.5426 0.0853 0.2500
B: 0.4789 0.9578 0.4037
B: 0.5211 0.0422 0.5963
B: 0.5211 0.0422 0.9037
B: 0.4789 0.9578 0.0963
B: 0.3680 0.7360 0.3493
B: 0.6320 0.2640 0.6507
B: 0.2728 0.5455 0.4659
B: 0.7272 0.4545 0.5341
B: 0.7272 0.4545 0.9659
B: 0.2728 0.5455 0.0341
B: 0.3680 0.7360 0.1507
B: 0.6320 0.2640 0.8493
Os: 0.9457 0.8913 0.2500
Os: 0.0543 0.1087 0.7500

Properties
Energy = -7.15 eV per atom
Crystal system = orthorhombic
Symmetry = Cmcm, No. 63
Total magnetic moment = 0.00 μB/f.u.

***

Record 6
The following is a PBE calculation of a geometry-optimized Dy4As3O structure, from Alexandria via LeMat-Bulk.

Cell lengths 5.7663, 5.7639, 11.2728 Å; angles 90.00, 90.00, 90.00 degrees
Fractional coordinates of all 16 atoms:
Dy: 0.0624 0.8195 0.0000
Dy: 0.6328 0.2524 0.0000
Dy: 0.0629 0.2480 0.2474
Dy: 0.5629 0.7520 0.2526
Dy: 0.1328 0.7476 0.5000
Dy: 0.5624 0.1805 0.5000
Dy: 0.5629 0.7520 0.7474
Dy: 0.0629 0.2480 0.7526
As: 0.5634 0.7525 0.0000
As: 0.0633 0.7475 0.2499
As: 0.5633 0.2525 0.2501
As: 0.0634 0.2475 0.5000
As: 0.5633 0.2525 0.7499
As: 0.0633 0.7475 0.7501
O: 0.0042 0.1914 0.0000
O: 0.5042 0.8086 0.5000

Properties
Energy = -6.44 eV per atom
Crystal system = orthorhombic
Formation energy from raw total energies = -1779 meV per atom
Symmetry = Pmn2_1, No. 31
Total magnetic moment = 0.00 μB/f.u.

***

Record 7
The following is a PBE calculation of a geometry-optimized Tb2SmDy2Ho structure, from Alexandria via LeMat-Bulk.

Cell lengths 3.3751, 6.5962, 17.6832 Å; angles 90.00, 90.00, 90.00 degrees
Fractional coordinates of all 12 atoms:
Tb: 0.5000 0.2653 0.3176
Tb: 0.0000 0.7653 0.1824
Tb: 0.5000 0.7347 0.6824
Tb: 0.0000 0.2347 0.8176
Sm: 0.5000 0.5000 0.0000
Sm: 0.0000 0.0000 0.5000
Dy: 0.5000 0.7669 0.3514
Dy: 0.5000 0.2331 0.6486
Dy: 0.0000 0.7331 0.8514
Dy: 0.0000 0.2669 0.1486
Ho: 0.0000 0.0000 0.0000
Ho: 0.5000 0.5000 0.5000

Properties
Energy = -4.35 eV per atom
Crystal system = orthorhombic
Symmetry = Pnnm, No. 58
Total magnetic moment = 0.00 μB/f.u.

***

Record 8
The following is a PBE calculation of a geometry-optimized Sc2HgH3 structure, from Alexandria via LeMat-Bulk.

Cell lengths 3.3935, 6.0111, 7.9565 Å; angles 109.40, 90.00, 106.40 degrees
Fractional coordinates of all 12 atoms:
Sc: 0.4831 0.9661 0.7757
Sc: 0.5169 0.0339 0.2243
Sc: 0.8377 0.6755 0.4007
Sc: 0.1623 0.3245 0.5993
Hg: 0.8339 0.6678 0.9329
Hg: 0.1661 0.3322 0.0671
H: 0.3282 0.6564 0.5520
H: 0.9879 0.9759 0.6384
H: 0.6201 0.2402 0.6891
H: 0.3799 0.7598 0.3109
H: 0.0121 0.0241 0.3616
H: 0.6718 0.3436 0.4480

Properties
Energy = -4.39 eV per atom
Crystal system = monoclinic
Symmetry = C2/m, No. 12
Total magnetic moment = 0.00 μB/f.u.